LiNbAg2Pt | the Alexandria database | PBE | relaxed; raw total energy = -20.362 eV/f.u.; total moment = 1.9 Bohr magnetons per cell; energy of formation from the pure elements = 673 meV/atom
1.0
5.1929 0.0000 0.0000
0.0000 5.1929 0.0000
0.0000 0.0000 4.8023
Li Nb Ag Pt
1 1 2 1
Cartesian
0.0000 0.0000 0.0000
2.5965 2.5965 0.0000
0.0000 2.5965 2.4012
2.5965 0.0000 2.4012
2.5965 2.5965 2.4012